(1)
The following is a GGA-PBE calculation of crystalline Zn4MoBr at its relaxed geometry, from the Alexandria database. Values from VASP.

Properties
* total moment: 0.00 μB per formula unit
* V: 16.30 A^3/atom
* VASP energy: -2.4445 eV/atom
* energy relative to the elements, uncorrected: 283 kJ/mol of formula units

The structure in Quantum ESPRESSO input format:
```
&SYSTEM
  ibrav = 0, nat = 6, ntyp = 3
/
ATOMIC_SPECIES
Zn 65.41 Zn.upf
Mo 95.94 Mo.upf
Br 79.90 Br.upf
ATOMIC_POSITIONS angstrom
Zn 2.7618 2.7618 2.7618
Zn 4.5520 4.5520 2.7618
Zn 4.5520 2.7618 4.5520
Zn 2.7618 4.5520 4.5520
Mo 5.4853 5.4853 5.4853
Br 0.0000 0.0000 0.0000
CELL_PARAMETERS angstrom
0.0000 3.6569 3.6569
3.6569 0.0000 3.6569
3.6569 3.6569 0.0000
```

***

(2)
The following is a GGA-PBE calculation of crystalline NbGeRu at its relaxed geometry, from the Alexandria database. Values from VASP.

Properties
* ΔH_f (0 K): -0.24 eV per atom
* total moment: 0.00 μB per formula unit
* V: 15.77 A^3/atom
* VASP energy: -8.2229 eV/atom

The structure in Quantum ESPRESSO input format:
```
&SYSTEM
  ibrav = 0, nat = 12, ntyp = 3
/
ATOMIC_SPECIES
Nb 92.91 Nb.upf
Ge 72.64 Ge.upf
Ru 101.07 Ru.upf
ATOMIC_POSITIONS angstrom
Nb 0.0000 0.0000 0.0000
Nb -0.8521 2.1393 3.7996
Nb 4.8486 2.1393 0.0000
Nb 3.9965 0.0000 3.7996
Ge 0.8141 2.1393 1.6978
Ge 2.9045 0.0000 0.6577
Ge 5.6627 0.0000 1.6978
Ge 7.7531 2.1393 0.6577
Ru 1.4018 0.0000 2.9383
Ru 3.3154 2.1393 2.1084
Ru 6.2504 2.1393 2.9383
Ru 8.1640 0.0000 2.1084
CELL_PARAMETERS angstrom
9.6972 0.0000 0.0000
0.0000 4.2787 0.0000
-2.7692 0.0000 4.5618
```

***

(3)
The following is a GGA-PBE calculation of crystalline Na3SrFe at its relaxed geometry, from the Alexandria database. Values from VASP.

Properties
* ΔH_f (0 K): 0.67 eV per atom
* total moment: 2.32 μB per formula unit
* V: 35.54 A^3/atom
* polymorph energy (0 for the lowest one): 0 meV per atom
* VASP energy: -2.1525 eV/atom

The structure in Quantum ESPRESSO input format:
```
&SYSTEM
  ibrav = 0, nat = 5, ntyp = 3
/
ATOMIC_SPECIES
Na 22.99 Na.upf
Sr 87.62 Sr.upf
Fe 55.84 Fe.upf
ATOMIC_POSITIONS angstrom
Na 0.0000 0.0000 2.8111
Na 0.0000 2.8111 0.0000
Na 2.8111 0.0000 0.0000
Sr 2.8111 2.8111 2.8111
Fe 0.0000 0.0000 0.0000
CELL_PARAMETERS angstrom
5.6222 0.0000 0.0000
0.0000 5.6222 0.0000
0.0000 0.0000 5.6222
```

***

(4)
The following is a GGA-PBE calculation of crystalline Ca2OsW2 at its relaxed geometry, from the Alexandria database. Values from VASP.

Properties
* ΔH_f (0 K): 1.56 eV per atom
* total moment: 0.00 μB per formula unit
* V: 21.69 A^3/atom
* polymorph energy (0 for the lowest one): 469 meV per atom
* VASP energy: -6.6696 eV/atom

The structure in Quantum ESPRESSO input format:
```
&SYSTEM
  ibrav = 0, nat = 10, ntyp = 3
/
ATOMIC_SPECIES
Ca 40.08 Ca.upf
Os 190.23 Os.upf
W 183.84 W.upf
ATOMIC_POSITIONS angstrom
Ca 1.7560 2.6423 0.0000
Ca 2.6423 7.0406 0.0000
Ca 6.1543 1.7560 0.0000
Ca 7.0406 6.1543 0.0000
Os 0.0000 0.0000 0.0000
Os 4.3983 4.3983 0.0000
W 0.8183 5.2166 1.4016
W 3.5800 0.8183 1.4016
W 5.2166 7.9783 1.4016
W 7.9783 3.5800 1.4016
CELL_PARAMETERS angstrom
8.7966 0.0000 0.0000
0.0000 8.7966 0.0000
0.0000 0.0000 2.8033
```

***

(5)
The following is a GGA-PBE calculation of crystalline ErNpGa2O8 at its relaxed geometry, from the Alexandria database. Values from VASP.

Properties
* total moment: 0.00 μB per formula unit
* V: 13.05 A^3/atom
* VASP energy: -7.5743 eV/atom
* energy relative to the elements, uncorrected: -2670 kJ/mol of formula units

The structure in Quantum ESPRESSO input format:
```
&SYSTEM
  ibrav = 0, nat = 12, ntyp = 4
/
ATOMIC_SPECIES
Er 167.26 Er.upf
Np 237.00 Np.upf
Ga 69.72 Ga.upf
O 16.00 O.upf
ATOMIC_POSITIONS angstrom
Er 0.0000 0.0000 0.0000
Np 3.4405 0.0000 1.6533
Ga 0.0000 0.0000 3.3066
Ga 0.0000 3.4405 1.6533
O 2.0802 3.4405 -1.2594
O 1.3603 0.0000 2.0472
O 0.0000 2.2038 0.2892
O 3.4405 2.0802 1.2594
O 0.0000 4.6771 0.2892
O 0.0000 1.3603 4.5660
O -1.2367 3.4405 3.0174
O 1.2367 3.4405 3.0174
CELL_PARAMETERS angstrom
-3.4405 3.4405 3.3066
3.4405 -3.4405 3.3066
3.4405 3.4405 -3.3066
```

***

(6)
The following is a GGA-PBE calculation of crystalline DyScO3 at its relaxed geometry, from the Alexandria database. Values from VASP.

Properties
* total moment: 0.00 μB per formula unit
* V: 11.90 A^3/atom
* VASP energy: -8.6103 eV/atom
* energy relative to the elements, uncorrected: -1664 kJ/mol of formula units

The structure in Quantum ESPRESSO input format:
```
&SYSTEM
  ibrav = 0, nat = 20, ntyp = 3
/
ATOMIC_SPECIES
Dy 162.50 Dy.upf
Sc 44.96 Sc.upf
O 16.00 O.upf
ATOMIC_POSITIONS angstrom
Dy 0.8801 0.7978 2.3722
Dy 2.2619 2.3934 8.3073
Dy 4.0222 0.7978 3.5629
Dy 5.4040 2.3934 9.4980
Sc 1.3009 2.3934 5.4081
Sc 1.8411 0.7978 11.3432
Sc 4.4430 2.3934 0.5270
Sc 4.9832 0.7978 6.4622
O 0.1134 0.7978 4.6775
O 0.9745 0.7978 9.3980
O 1.0002 2.3934 0.6610
O 2.1419 0.7978 6.5961
O 2.1676 2.3934 3.4628
O 3.0287 2.3934 10.6126
O 3.2554 0.7978 1.2576
O 4.1165 0.7978 8.4074
O 4.1423 2.3934 5.2742
O 5.2839 0.7978 11.2093
O 5.3097 2.3934 2.4723
O 6.1707 2.3934 7.1928
CELL_PARAMETERS angstrom
6.2841 0.0000 0.0000
0.0000 3.1912 0.0000
0.0000 0.0000 11.8703
```

***

(7)
The following is a GGA-PBE calculation of crystalline GeSb3Pt12 at its relaxed geometry, from the Alexandria database. Values from VASP.

Properties
* total moment: 0.00 μB per formula unit
* V: 16.79 A^3/atom
* VASP energy: -5.7502 eV/atom
* energy relative to the elements, uncorrected: -244 kJ/mol of formula units

The structure in Quantum ESPRESSO input format:
```
&SYSTEM
  ibrav = 0, nat = 16, ntyp = 3
/
ATOMIC_SPECIES
Ge 72.64 Ge.upf
Sb 121.76 Sb.upf
Pt 195.08 Pt.upf
ATOMIC_POSITIONS angstrom
Ge 0.0000 0.0000 0.0000
Sb 0.0000 0.0000 4.0790
Sb 0.0000 0.0000 8.2359
Sb 0.0000 0.0000 12.3927
Pt 0.0000 2.0193 1.9145
Pt 0.0000 2.0193 6.1100
Pt 0.0000 2.0193 10.3617
Pt 0.0000 2.0193 14.5572
Pt 2.0193 0.0000 1.9145
Pt 2.0193 0.0000 6.1100
Pt 2.0193 0.0000 10.3617
Pt 2.0193 0.0000 14.5572
Pt 2.0193 2.0193 0.0000
Pt 2.0193 2.0193 3.9547
Pt 2.0193 2.0193 8.2359
Pt 2.0193 2.0193 12.5170
CELL_PARAMETERS angstrom
4.0386 0.0000 0.0000
0.0000 4.0386 0.0000
0.0000 0.0000 16.4717
```

***

(8)
The following is a GGA-PBE calculation of crystalline LiErSc2Hg4 at its relaxed geometry, from the Alexandria database. Values from VASP.

Properties
* ΔH_f (0 K): -0.41 eV per atom
* total moment: 0.00 μB per formula unit
* V: 22.04 A^3/atom
* VASP energy: -2.9560 eV/atom

The structure in Quantum ESPRESSO input format:
```
&SYSTEM
  ibrav = 0, nat = 8, ntyp = 4
/
ATOMIC_SPECIES
Li 6.94 Li.upf
Er 167.26 Er.upf
Sc 44.96 Sc.upf
Hg 200.59 Hg.upf
ATOMIC_POSITIONS angstrom
Li 0.0000 0.0000 0.0000
Er 0.0000 0.0000 12.4262
Sc 0.0000 0.0000 6.3186
Sc 0.0000 0.0000 18.5339
Hg 0.0000 0.0000 2.9375
Hg 0.0000 0.0000 9.2731
Hg 0.0000 0.0000 15.5794
Hg 0.0000 0.0000 21.9150
CELL_PARAMETERS angstrom
2.4790 1.4312 8.2842
-2.4790 1.4312 8.2842
0.0000 -2.8625 8.2842
```

***

Among the records above, which one has the lowest VASP energy?
DyScO3

***

Which formula does entry 6 have?
DyScO3

***

V of number 3 (Na3SrFe)?
35.54 A^3/atom